NaCr2IO8: optimized geometry, PBE+U.

```
NaCr2IO8
1.0
5.093 0.000 0.000
-2.169 5.176 0.000
-0.011 -1.617 7.918
Na Cr I O
1 2 1 8
Direct
0.000 0.000 0.000
0.384 0.690 0.236
0.616 0.310 0.764
0.000 0.000 0.500
0.223 0.751 0.416
0.246 0.116 0.734
0.258 0.765 0.079
0.327 0.380 0.195
0.673 0.620 0.805
0.742 0.235 0.921
0.754 0.884 0.266
0.777 0.249 0.584
```

## Properties
Total magnetization = 0.000 μB/cell
Uncorrected energy = -5.846 eV per atom
ρ = 3.04 g cm⁻³